No. 1
NiRu2Pt | PBE | optimized geometry

The symmetry is Pmma. The calculation puts the total DFT energy (no corrections) at -7.591 eV per atom. For the formation energy, the calculation gives 2 meV/atom.

a b c (Å): 3.7672 3.8024 8.5449
angles (deg): 90.00 116.19 90.00
Closest atoms and distances in Å follow each position.
Element x y z (fractional)
Pt 0.6263 0.7500 0.6262  6 Ni 2.68-2.72, 4 Ru 2.71-2.72, 2 Pt 2.71
Pt 0.3737 0.2500 0.3738  6 Ni 2.68-2.72, 4 Ru 2.71-2.72, 2 Pt 2.71
Ru 0.3805 0.7500 0.8808  8 Ru 2.63-2.68, 2 Ni 2.71, 2 Pt 2.71
Ni 0.1290 0.2500 0.6290  6 Pt 2.68-2.72, 4 Ru 2.70-2.71, 2 Ni 2.74
Ni 0.8710 0.7500 0.3710  6 Pt 2.68-2.72, 4 Ru 2.70-2.71, 2 Ni 2.74
Ru 0.8808 0.2500 0.8806  8 Ru 2.63-2.68, 2 Ni 2.70, 2 Pt 2.72
Ru 0.6195 0.2500 0.1192  8 Ru 2.63-2.68, 2 Ni 2.71, 2 Pt 2.71
Ru 0.1192 0.7500 0.1194  8 Ru 2.63-2.68, 2 Ni 2.70, 2 Pt 2.72

---

No. 2
CsKRbAu2 | PBE | optimized geometry

The symmetry is P3m1. The calculation puts the total DFT energy (no corrections) at -2.133 eV per atom. For the formation energy, the calculation gives -238 meV/atom.

a b c (Å): 6.0285 6.0285 7.0865
angles (deg): 90.00 90.00 120.00
Closest atoms and distances in Å follow each position.
Element x y z (fractional)
Au 0.6667 0.3333 0.8061  2 Rb 3.47-3.62, 3 K 3.58, 3 Cs 3.74
Au 0.3333 0.6667 0.1926  2 K 3.50-3.58, 3 Rb 3.59, 3 Cs 3.74
Cs 0.0000 0.0000 0.9979  6 Au 3.74, 3 K 4.12, 3 Rb 4.15
K 0.3333 0.6667 0.6870  5 Au 3.50-3.58
Rb 0.6667 0.3333 0.3164  5 Au 3.47-3.62

---

No. 3
La6Pr | PBE | optimized geometry

The symmetry is R-3. The calculation puts the total DFT energy (no corrections) at -4.802 eV per atom. For the formation energy, the calculation gives 105 meV/atom.

a b c (Å): 3.6769 9.1062 9.1062
angles (deg): 118.22 97.74 97.74
Closest atoms and distances in Å follow each position.
Element x y z (fractional)
La 0.5692 0.5724 0.8387  1 Pr 3.51, 9 La 3.56-3.90
La 0.7305 0.1613 0.7337  1 Pr 3.51, 9 La 3.56-3.90
La 0.9968 0.2663 0.4276  1 Pr 3.51, 9 La 3.56-3.90
La 0.2695 0.8387 0.2663  1 Pr 3.51, 9 La 3.56-3.90
La 0.4308 0.4276 0.1613  1 Pr 3.51, 9 La 3.56-3.90
Pr 0.5000 0.0000 0.0000  6 La 3.51, 2 Pr 3.68
La 0.0032 0.7337 0.5724  1 Pr 3.51, 9 La 3.56-3.90

---

No. 4
Pr2TmNpSb4 | PBE | optimized geometry

The symmetry is P2/m. Its uncorrected formation energy is -0.8983 eV/atom. The calculation puts the total DFT energy (no corrections) at -6.331 eV per atom.

a b c (Å): 4.4649 7.7258 7.7314
angles (deg): 109.35 90.00 90.00
Closest atoms and distances in Å follow each position.
Element x y z (fractional)
Tm 0.5000 0.5000 0.0000  6 Sb 3.09-3.10
Pr 0.0000 0.5000 0.5000  6 Sb 3.21
Sb 0.5000 0.7523 0.7622  1 Tm 3.09, 2 Np 3.11, 3 Pr 3.21-3.22
Sb 0.0000 0.7443 0.2361  2 Tm 3.10, 1 Np 3.10, 3 Pr 3.21-3.22
Pr 0.5000 0.0000 0.5000  6 Sb 3.22
Np 0.0000 0.0000 0.0000  6 Sb 3.10-3.11
Sb 0.5000 0.2477 0.2378  1 Tm 3.09, 2 Np 3.11, 3 Pr 3.21-3.22
Sb 0.0000 0.2557 0.7639  2 Tm 3.10, 1 Np 3.10, 3 Pr 3.21-3.22